SiNi2Rh at its PBEsol-relaxed geometry, computed with SCAN.

abc: 3.5186 3.5186 3.6701
angles: 90.00 90.00 90.00
Space group P4/mmm (No. 123)
Inequivalent atoms, fractional coordinates:
Si 0.0000 0.0000 0.0000 x1
Ni 0.0000 0.5000 0.5000 x2
Rh 0.5000 0.5000 0.0000 x1

Summary:
Density of states at the Fermi level: 1.97 states/eV/cell
DFT total energy: -78.0 eV/f.u.

=====

GaSbTe2Pt at its PBEsol-relaxed geometry, computed with SCAN.

abc: 5.4469 5.4469 5.0077
angles: 90.00 90.00 90.00
Space group P4/mmm (No. 123)
Inequivalent atoms, fractional coordinates:
Ga 0.0000 0.0000 0.0000 x1
Sb 0.5000 0.5000 0.0000 x1
Te 0.0000 0.5000 0.5000 x2
Pt 0.5000 0.5000 0.5000 x1

Summary:
Density of states at the Fermi level: 2.75 states/eV/cell
DFT total energy: -196.8 eV/f.u.

=====

RbNbGe3 at its PBEsol-relaxed geometry, computed with SCAN.

abc: 5.1545 5.1545 5.1545
angles: 90.00 90.00 90.00
Space group Pm-3m (No. 221)
Inequivalent atoms, fractional coordinates:
Rb 0.0000 0.0000 0.0000 x1
Nb 0.5000 0.5000 0.5000 x1
Ge 0.0000 0.0000 0.5000 x3

Summary:
Density of states at the Fermi level: 4.38 states/eV/cell
Formation energy from the elements: 11.51 eV/f.u.
Energy above the lowest structure with this stoichiometry: 219.0 kJ per mole of atoms
DFT total energy: -99.6 eV/f.u.

=====

YMg3 at its PBEsol-relaxed geometry, computed with SCAN.

abc: 5.0502 5.0502 15.2345
angles: 90.00 90.00 90.00
Space group I4/mmm (No. 139)
Inequivalent atoms, fractional coordinates:
Y 0.0000 0.0000 0.1301 x4
Mg 0.0000 0.0000 0.3691 x4
Mg 0.0000 0.5000 0.0000 x4
Mg 0.0000 0.5000 0.2500 x4

Summary:
Density of states at the Fermi level: 9.68 states/eV/cell
Formation energy from the elements: -0.27 eV/f.u.
DFT total energy: -43.0 eV/f.u.

=====

ZrSbMo2 at its PBEsol-relaxed geometry, computed with SCAN.

abc: 3.0303 4.7696 5.1539
angles: 90.00 92.33 90.00
Space group P2/m (No. 10)
Inequivalent atoms, fractional coordinates:
Zr 0.0000 0.0000 0.0000 x1
Sb 0.5000 0.0000 0.5000 x1
Mo 0.3503 0.5000 0.7770 x2

Summary:
Density of states at the Fermi level: 3.03 states/eV/cell
DFT total energy: -137.3 eV/f.u.

=====

TlPSe at its PBEsol-relaxed geometry, computed with SCAN.

abc: 4.3047 4.3047 4.5559
angles: 90.00 90.00 120.00
Space group P3m1 (No. 156)
Inequivalent atoms, fractional coordinates:
Tl 0.0000 0.0000 0.0000 x1
P 0.3333 0.6667 0.4079 x1
Se 0.6667 0.3333 0.5330 x1

Summary:
Density of states at the Fermi level: 0.63 states/eV/cell
DFT total energy: -102.1 eV/f.u.

=====

Li4Ti2Mn3V3O16 at its PBEsol-relaxed geometry, computed with SCAN.

abc: 9.7905 5.6934 9.4722
angles: 90.00 90.57 90.00
Space group Cm (No. 8)
Inequivalent atoms, fractional coordinates:
Li 0.0000 0.0000 0.0000 x2
Li 0.0013 0.0000 0.5116 x2
Li 0.1710 0.5000 0.1110 x2
Li 0.3397 0.0000 0.5971 x2
Ti 0.1709 0.5000 0.5033 x2
Ti 0.3439 0.0000 0.0057 x2
Mn 0.3193 0.5000 0.7865 x2
Mn 0.4173 0.2451 0.2844 x4
V 0.0972 0.2658 0.7848 x4
V 0.1721 0.0000 0.2797 x2
O 0.9997 0.0000 0.6997 x2
O 0.0227 0.5000 0.6588 x2
O 0.0851 0.2465 0.4003 x4
O 0.1670 0.5000 0.9119 x2
O 0.1703 0.0000 0.9005 x2
O 0.2471 0.2745 0.6563 x4
O 0.2608 0.2217 0.1632 x4
O 0.3367 0.5000 0.4016 x2
O 0.3380 0.0000 0.3915 x2
O 0.4155 0.2519 0.8982 x4
O 0.4841 0.0000 0.1587 x2
O 0.4983 0.5000 0.1873 x2

Summary:
Density of states at the Fermi level: 10.20 states/eV/cell
DFT total energy: -321.1 eV/f.u.

=====

GaCoSe2 at its PBEsol-relaxed geometry, computed with SCAN.

abc: 5.5095 5.5095 10.9413
angles: 90.00 90.00 90.00
Space group I-42d (No. 122)
Inequivalent atoms, fractional coordinates:
Ga 0.0000 0.0000 0.0000 x4
Co 0.0000 0.0000 0.5000 x4
Se 0.2233 0.2500 0.6250 x8

Summary:
Density of states at the Fermi level: 7.28 states/eV/cell
DFT total energy: -75.1 eV/f.u.

=====

Ru2RhW at its PBEsol-relaxed geometry, computed with SCAN.

abc: 3.8438 3.8438 7.5287
angles: 90.00 90.00 90.00
Space group I4/mmm (No. 139)
Inequivalent atoms, fractional coordinates:
Ru 0.0000 0.5000 0.2500 x4
Rh 0.0000 0.0000 0.0000 x2
W 0.0000 0.0000 0.5000 x2

Summary:
Density of states at the Fermi level: 7.00 states/eV/cell
Formation energy from the elements: -0.13 eV/f.u.
Energy above the lowest structure with this stoichiometry: 8.7 kJ per mole of atoms
DFT total energy: -173.2 eV/f.u.

=====

YAs2Ir at its PBEsol-relaxed geometry, computed with SCAN.

abc: 3.6775 3.6775 21.9995
angles: 90.00 90.00 120.00
Space group R3m (No. 160, hexagonal axes)
Inequivalent atoms, fractional coordinates:
Y 0.0000 0.0000 0.0000 x3
As 0.0000 0.0000 0.5251 x3
As 0.0000 0.0000 0.7569 x3
Ir 0.0000 0.0000 0.2430 x3

Summary:
Density of states at the Fermi level: 8.68 states/eV/cell
Formation energy from the elements: -1.12 eV/f.u.
Energy above the lowest structure with this stoichiometry: 65.8 kJ per mole of atoms
DFT total energy: -140.4 eV/f.u.

=====

Ba3CoIr2O9 at its PBEsol-relaxed geometry, computed with SCAN.

abc: 5.7071 5.7071 14.1829
angles: 90.00 90.00 120.00
Space group P6_3/mmc (No. 194)
Inequivalent atoms, fractional coordinates:
Ba 0.0000 0.0000 0.2500 x2
Ba 0.3333 0.6667 0.0860 x4
Co 0.0000 0.0000 0.0000 x2
Ir 0.3333 0.6667 0.6550 x4
O 0.0259 0.5130 0.7500 x6
O 0.1667 0.3334 0.5798 x12

Summary:
Density of states at the Fermi level: 11.45 states/eV/cell
DFT total energy: -362.5 eV/f.u.

=====

LiTcPt at its PBEsol-relaxed geometry, computed with SCAN.

abc: 5.7446 5.7446 5.7446
angles: 90.00 90.00 90.00
Space group F-43m (No. 216)
Inequivalent atoms, fractional coordinates:
Li 0.0000 0.0000 0.0000 x4
Tc 0.0000 0.0000 0.5000 x4
Pt 0.2500 0.2500 0.7500 x4

Summary:
Density of states at the Fermi level: 6.87 states/eV/cell
Formation energy from the elements: 0.17 eV/f.u.
Energy above the lowest structure with this stoichiometry: 15.7 kJ per mole of atoms
DFT total energy: -107.5 eV/f.u.

=====

HfTlGe3 at its PBEsol-relaxed geometry, computed with SCAN.

abc: 5.0852 5.0852 5.0852
angles: 90.00 90.00 90.00
Space group Pm-3m (No. 221)
Inequivalent atoms, fractional coordinates:
Hf 0.0000 0.0000 0.0000 x1
Tl 0.5000 0.5000 0.5000 x1
Ge 0.0000 0.5000 0.5000 x3

Summary:
Density of states at the Fermi level: 4.32 states/eV/cell
Formation energy from the elements: 6.91 eV/f.u.
Energy above the lowest structure with this stoichiometry: 102.2 kJ per mole of atoms
DFT total energy: -185.4 eV/f.u.